Record 1
# YScCu2Pb2

A geometry-optimized YScCu2Pb2 structure (GGA-PBE, the Open Quantum Materials Database).

abc: 9.140 4.567 13.700
angles: 90.00 109.42 90.00
Element x y z (fractional)
Cu1 0.878 0.500 0.257
Cu2 0.379 0.500 0.257
Cu3 0.743 0.000 0.497
Cu4 0.254 0.000 0.498
Cu5 0.618 0.500 0.746
Cu6 0.133 0.500 0.751
Cu7 0.498 0.000 0.995
Cu8 0.000 0.000 0.000
Pb1 0.563 0.500 0.125
Pb2 0.065 0.500 0.130
Pb3 0.938 0.000 0.377
Pb4 0.439 0.000 0.378
Pb5 0.805 0.500 0.622
Pb6 0.316 0.500 0.622
Pb7 0.679 0.000 0.870
Pb8 0.193 0.000 0.875
Sc1 0.687 0.500 0.375
Sc2 0.188 0.500 0.376
Sc3 0.562 0.000 0.624
Sc4 0.438 0.500 0.874
Y1 0.812 0.000 0.125
Y2 0.314 0.000 0.127
Y3 0.062 0.000 0.624
Y4 0.937 0.500 0.874

## Properties
Total DFT energy (no corrections) (eV per atom): -4.969
Calculated volume (A^3/atom): 22.47
SG: Pm



Record 2
# PmHoPb

A geometry-optimized PmHoPb structure (GGA-PBE, the Open Quantum Materials Database).

abc: 5.223 5.223 5.223
angles: 60.00 60.00 60.00
Element x y z (fractional)
Ho1 0.250 0.250 0.250
Pb1 0.000 0.000 0.000
Pm1 0.750 0.750 0.750

## Properties
Total DFT energy (no corrections) (eV per atom): -4.559
Calculated volume (A^3/atom): 33.59
SG: F-43m
E above lowest polymorph (meV/atom): 0



Record 3
# BeAlCuMo

A geometry-optimized BeAlCuMo structure (GGA-PBE, the Open Quantum Materials Database).

abc: 4.160 4.160 4.160
angles: 60.00 60.00 60.00
Element x y z (fractional)
Al1 0.000 0.000 0.000
Be1 0.500 0.500 0.500
Cu1 0.750 0.750 0.750
Mo1 0.250 0.250 0.250

## Properties
Total DFT energy (no corrections) (eV per atom): -5.384
Calculated volume (A^3/atom): 12.72
SG: F-43m
E above lowest polymorph (meV/atom): 0



Record 4
# PrCuGeSe2S

A geometry-optimized PrCuGeSe2S structure (GGA-PBE, the Open Quantum Materials Database).

abc: 6.826 6.826 10.697
angles: 90.00 90.00 146.46
Element x y z (fractional)
Cu1 0.023 0.977 0.250
Cu2 0.977 0.023 0.750
Ge1 0.737 0.263 0.250
Ge2 0.263 0.737 0.750
Pr1 0.500 0.500 0.000
Pr2 0.500 0.500 0.500
S1 0.420 0.580 0.250
S2 0.580 0.420 0.750
Se1 0.156 0.844 0.083
Se2 0.156 0.844 0.417
Se3 0.844 0.156 0.583
Se4 0.844 0.156 0.917

## Properties
Total DFT energy (no corrections) (eV per atom): -4.856
Calculated volume (A^3/atom): 22.94
SG: Cmcm



Record 5
# BaMgNiPb

A geometry-optimized BaMgNiPb structure (GGA-PBE, the Open Quantum Materials Database).

abc: 5.216 5.216 5.216
angles: 60.00 60.00 60.00
Element x y z (fractional)
Ba1 0.500 0.500 0.500
Mg1 0.750 0.750 0.750
Ni1 0.250 0.250 0.250
Pb1 0.000 0.000 0.000

## Properties
Total DFT energy (no corrections) (eV per atom): -3.109
Calculated volume (A^3/atom): 25.09
SG: F-43m
E above lowest polymorph (meV/atom): 0



Record 6
# AlCuNiSn

A geometry-optimized AlCuNiSn structure (GGA-PBE, the Open Quantum Materials Database).

abc: 4.387 4.387 4.387
angles: 60.00 60.00 60.00
Element x y z (fractional)
Al1 0.500 0.500 0.500
Cu1 0.750 0.750 0.750
Ni1 0.250 0.250 0.250
Sn1 0.000 0.000 0.000

## Properties
Total DFT energy (no corrections) (eV per atom): -4.305
Calculated volume (A^3/atom): 14.92
SG: F-43m
E above lowest polymorph (meV/atom): 0